No. 1
{
  "formula": "Ho6Tl3Te",
  "functional": "PBE",
  "state": "relaxed",
  "raw_formation_energy_ev_per_fu": -3.0,
  "magnetic_moment_mub_per_fu": 0.000,
  "spacegroup": "No. 36",
  "dft_energy_ha_per_atom": -0.150,
  "cell": [[5.535, -7.155, 0.000], [5.535, 7.155, 0.000], [0.000, 0.000, 7.617]],
  "species": ["Ho", "Ho", "Ho", "Ho", "Ho", "Ho", "Ho", "Ho", "Ho", "Ho", "Ho", "Ho", "Tl", "Tl", "Tl", "Tl", "Tl", "Tl", "Te", "Te"],
  "fractional_positions": [[0.016, 0.984, 0.500], [0.120, 0.530, 0.016], [0.228, 0.330, 0.652], [0.288, 0.712, 0.567], [0.330, 0.228, 0.152], [0.470, 0.880, 0.016], [0.530, 0.120, 0.516], [0.670, 0.772, 0.652], [0.712, 0.288, 0.067], [0.772, 0.670, 0.152], [0.880, 0.470, 0.516], [0.984, 0.016, 0.000], [0.025, 0.277, 0.283], [0.277, 0.025, 0.783], [0.473, 0.527, 0.920], [0.527, 0.473, 0.420], [0.723, 0.975, 0.283], [0.975, 0.723, 0.783], [0.169, 0.831, 0.231], [0.831, 0.169, 0.731]]
}

***

No. 2
{
  "formula": "Na3Cd3AsO8",
  "functional": "PBE",
  "state": "relaxed",
  "raw_formation_energy_ev_per_fu": -17.6,
  "magnetic_moment_mub_per_fu": 2.104,
  "spacegroup": "No. 166",
  "dft_energy_ha_per_atom": -0.168,
  "cell": [[3.286, 1.897, 5.565], [-3.286, 1.897, 5.565], [0.000, -3.794, 5.565]],
  "species": ["Na", "Na", "Na", "Cd", "Cd", "Cd", "As", "O", "O", "O", "O", "O", "O", "O", "O"],
  "fractional_positions": [[0.000, 0.500, 0.500], [0.500, 0.000, 0.500], [0.500, 0.500, 0.000], [0.000, 0.000, 0.500], [0.000, 0.500, 0.000], [0.500, 0.000, 0.000], [0.500, 0.500, 0.500], [0.239, 0.239, 0.239], [0.296, 0.700, 0.700], [0.300, 0.300, 0.704], [0.300, 0.704, 0.300], [0.700, 0.296, 0.700], [0.700, 0.700, 0.296], [0.704, 0.300, 0.300], [0.761, 0.761, 0.761]]
}

***

No. 3
{
  "formula": "Ce2NdIn2",
  "functional": "PBE",
  "state": "relaxed",
  "magnetic_moment_mub_per_fu": 1.483,
  "spacegroup": "No. 12",
  "e_form_kj_per_mol_fu": -132,
  "dft_energy_ha_per_atom": -0.173,
  "relative_energy_mev_per_atom": 0,
  "cell": [[5.580, -2.661, 0.000], [5.580, 2.661, 0.000], [-1.950, 0.000, 9.380]],
  "species": ["Ce", "Ce", "Ce", "Ce", "Nd", "Nd", "In", "In", "In", "In"],
  "fractional_positions": [[0.068, 0.068, 0.350], [0.117, 0.117, 0.078], [0.883, 0.883, 0.922], [0.932, 0.932, 0.650], [0.238, 0.238, 0.745], [0.762, 0.762, 0.255], [0.368, 0.368, 0.433], [0.440, 0.440, 0.136], [0.560, 0.560, 0.864], [0.632, 0.632, 0.567]]
}

***

No. 4
{
  "formula": "TbPr3As4",
  "functional": "PBE",
  "state": "relaxed",
  "magnetic_moment_mub_per_fu": 0.000,
  "spacegroup": "No. 221",
  "e_form_kj_per_mol_fu": -1157,
  "dft_energy_ha_per_atom": -0.228,
  "relative_energy_mev_per_atom": 4,
  "cell": [[6.035, 0.000, 0.000], [0.000, 6.035, 0.000], [0.000, 0.000, 6.035]],
  "species": ["Tb", "Pr", "Pr", "Pr", "As", "As", "As", "As"],
  "fractional_positions": [[0.000, 0.000, 0.000], [0.000, 0.500, 0.500], [0.500, 0.000, 0.500], [0.500, 0.500, 0.000], [0.000, 0.000, 0.500], [0.000, 0.500, 0.000], [0.500, 0.000, 0.000], [0.500, 0.500, 0.500]]
}

***

No. 5
{
  "formula": "Th3MnGa",
  "functional": "PBE",
  "state": "relaxed",
  "magnetic_moment_mub_per_fu": 0.000,
  "spacegroup": "No. 221",
  "e_form_kj_per_mol_fu": -23,
  "dft_energy_ha_per_atom": -0.255,
  "cell": [[5.165, 0.000, 0.000], [0.000, 5.165, 0.000], [0.000, 0.000, 5.165]],
  "species": ["Th", "Th", "Th", "Mn", "Ga"],
  "fractional_positions": [[0.000, 0.000, 0.500], [0.000, 0.500, 0.000], [0.500, 0.000, 0.000], [0.000, 0.000, 0.000], [0.500, 0.500, 0.500]]
}

***

No. 6
{
  "formula": "Tb3Ga4Cu",
  "functional": "PBE",
  "state": "relaxed",
  "magnetic_moment_mub_per_fu": 0.000,
  "spacegroup": "No. 71",
  "e_form_kj_per_mol_fu": -247,
  "dft_energy_ha_per_atom": -0.150,
  "cell": [[-2.089, 2.762, 8.133], [2.089, -2.762, 8.133], [2.089, 2.762, -8.133]],
  "species": ["Tb", "Tb", "Tb", "Ga", "Ga", "Ga", "Ga", "Cu"],
  "fractional_positions": [[0.000, 0.000, 0.000], [0.287, 0.787, 0.500], [0.713, 0.213, 0.500], [0.115, 0.382, 0.733], [0.352, 0.618, 0.733], [0.648, 0.382, 0.267], [0.885, 0.618, 0.267], [0.500, 0.500, 0.000]]
}

***

What did the first record say?
{
  "formula": "Ho6Tl3Te",
  "functional": "PBE",
  "state": "relaxed",
  "raw_formation_energy_ev_per_fu": -3.0,
  "magnetic_moment_mub_per_fu": 0.000,
  "spacegroup": "No. 36",
  "dft_energy_ha_per_atom": -0.150,
  "cell": [[5.535, -7.155, 0.000], [5.535, 7.155, 0.000], [0.000, 0.000, 7.617]],
  "species": ["Ho", "Ho", "Ho", "Ho", "Ho", "Ho", "Ho", "Ho", "Ho", "Ho", "Ho", "Ho", "Tl", "Tl", "Tl", "Tl", "Tl", "Tl", "Te", "Te"],
  "fractional_positions": [[0.016, 0.984, 0.500], [0.120, 0.530, 0.016], [0.228, 0.330, 0.652], [0.288, 0.712, 0.567], [0.330, 0.228, 0.152], [0.470, 0.880, 0.016], [0.530, 0.120, 0.516], [0.670, 0.772, 0.652], [0.712, 0.288, 0.067], [0.772, 0.670, 0.152], [0.880, 0.470, 0.516], [0.984, 0.016, 0.000], [0.025, 0.277, 0.283], [0.277, 0.025, 0.783], [0.473, 0.527, 0.920], [0.527, 0.473, 0.420], [0.723, 0.975, 0.283], [0.975, 0.723, 0.783], [0.169, 0.831, 0.231], [0.831, 0.169, 0.731]]
}

***

What did the sixth record say?
{
  "formula": "Tb3Ga4Cu",
  "functional": "PBE",
  "state": "relaxed",
  "magnetic_moment_mub_per_fu": 0.000,
  "spacegroup": "No. 71",
  "e_form_kj_per_mol_fu": -247,
  "dft_energy_ha_per_atom": -0.150,
  "cell": [[-2.089, 2.762, 8.133], [2.089, -2.762, 8.133], [2.089, 2.762, -8.133]],
  "species": ["Tb", "Tb", "Tb", "Ga", "Ga", "Ga", "Ga", "Cu"],
  "fractional_positions": [[0.000, 0.000, 0.000], [0.287, 0.787, 0.500], [0.713, 0.213, 0.500], [0.115, 0.382, 0.733], [0.352, 0.618, 0.733], [0.648, 0.382, 0.267], [0.885, 0.618, 0.267], [0.500, 0.500, 0.000]]
}